This record from OQMD describes a geometry-optimized LiCoNO structure. The functional is PBE with a Hubbard U. Values from VASP.

```
&SYSTEM
  ibrav = 0, nat = 8, ntyp = 4
/
ATOMIC_SPECIES
Li 6.94 Li.upf
Co 58.93 Co.upf
N 14.01 N.upf
O 16.00 O.upf
CELL_PARAMETERS angstrom
3.518 0.000 0.000
0.000 3.518 0.000
0.000 0.000 6.563
ATOMIC_POSITIONS angstrom
Li 0.879 2.638 0.000
Li 2.638 0.879 0.000
Co 0.879 0.879 2.399
Co 2.638 2.638 4.164
N 0.879 0.879 5.638
N 2.638 2.638 0.925
O 0.879 2.638 3.282
O 2.638 0.879 3.282
```

Computed properties:
The volume is 41 Å³/f.u. Its space group is P4/nmm. Its energy above the most stable polymorph in this dataset is 289 kJ/mol of formula units. The calculation puts the total energy at -0.3508 Ry per atom.